Ca3MgAu4 after structural relaxation, computed with PBE.

Results
- ΔE_f (meV/atom) = -737
- M_tot (μB per formula unit) = 0.00
- space group = P4/mmm (123)
- density of states at the Fermi level (states/eV/cell) = 4.27

Lattice parameters (Å, degrees): 3.5552 3.5552 14.2931 90.00 90.00 90.00
Closest atoms and distances in Å follow each position.
Positions (direct):
Ca1 0.0000 0.0000 0.0000  8 Au 3.13
Ca2 0.0000 0.0000 0.2620  8 Au 3.14-3.16, 1 Mg 3.40
Ca3 0.0000 0.0000 0.7380  8 Au 3.14-3.16, 1 Mg 3.40
Mg1 0.0000 0.0000 0.5000  8 Au 2.92
Au1 0.5000 0.5000 0.1307  8 Ca 3.13-3.14
Au2 0.5000 0.5000 0.3958  4 Mg 2.92, 1 Au 2.98, 4 Ca 3.16
Au3 0.5000 0.5000 0.6042  4 Mg 2.92, 1 Au 2.98, 4 Ca 3.16
Au4 0.5000 0.5000 0.8693  8 Ca 3.13-3.14